# KU2F9 (PBE, relaxed)
data_KU2F9
_chemical_formula_sum 'K4 U8 F36'
_symmetry_space_group_name_H-M 'P n m a'
_symmetry_Int_Tables_number 62
_symmetry_space_group_name_Hall '-P 2ac 2n'
_cell_length_a 8.5834
_cell_length_b 11.0515
_cell_length_c 6.9048
_cell_angle_alpha 90.00
_cell_angle_beta 90.00
_cell_angle_gamma 90.00
loop_
_atom_site_label
_atom_site_type_symbol
_atom_site_fract_x
_atom_site_fract_y
_atom_site_fract_z
_atom_site_occupancy
K1 K 0.0322 0.2500 0.1374 1
U1 U 0.1744 0.0478 0.6539 1
F1 F 0.0042 0.6066 0.5735 1
F2 F 0.0644 0.5799 0.1929 1
F3 F 0.1731 0.2500 0.6673 1
F4 F 0.2095 0.1017 0.9737 1
F5 F 0.2152 0.6140 0.8553 1
# Total energy, eV/atom: -6.863